Record 1
! PBE K2LaPuS4, optimized geometry; values from VASP
! Theoretical density = 4328 kg/m3
&SYSTEM
  ibrav = 0, nat = 8, ntyp = 4
/
ATOMIC_SPECIES
K 39.10 K.upf
La 138.91 La.upf
Pu 244.00 Pu.upf
S 32.06 S.upf
ATOMIC_POSITIONS crystal
K 0.000 0.000 0.000
K 0.500 0.500 0.000
La 0.000 0.500 0.500
Pu 0.500 0.000 0.500
S 0.243 0.000 0.707
S 0.276 0.500 0.299
S 0.724 0.500 0.701
S 0.757 0.000 0.293
CELL_PARAMETERS angstrom
7.312 0.000 0.000
0.000 4.211 0.000
-2.444 0.000 7.344

---

Record 2
! PBE K3La3PuS8, optimized geometry; values from VASP
! Theoretical density = 3714 kg/m3
&SYSTEM
  ibrav = 0, nat = 15, ntyp = 4
/
ATOMIC_SPECIES
K 39.10 K.upf
La 138.91 La.upf
Pu 244.00 Pu.upf
S 32.06 S.upf
ATOMIC_POSITIONS crystal
K 0.000 0.500 0.500
K 0.500 0.000 0.500
K 0.500 0.500 0.000
La 0.000 0.000 0.500
La 0.000 0.500 0.000
La 0.500 0.000 0.000
Pu 0.500 0.500 0.500
S 0.236 0.236 0.236
S 0.252 0.722 0.722
S 0.278 0.278 0.748
S 0.278 0.748 0.278
S 0.722 0.252 0.722
S 0.722 0.722 0.252
S 0.748 0.278 0.278
S 0.764 0.764 0.764
CELL_PARAMETERS angstrom
4.240 2.448 7.429
-4.240 2.448 7.429
0.000 -4.896 7.429

---

Record 3
! PBE K3LaPu2S6, optimized geometry; values from VASP
! Theoretical density = 4671 kg/m3
&SYSTEM
  ibrav = 0, nat = 12, ntyp = 4
/
ATOMIC_SPECIES
K 39.10 K.upf
La 138.91 La.upf
Pu 244.00 Pu.upf
S 32.06 S.upf
ATOMIC_POSITIONS crystal
K 0.000 0.000 0.000
K 0.334 0.666 0.000
K 0.666 0.334 0.000
La 0.500 0.500 0.500
Pu 0.167 0.833 0.500
Pu 0.833 0.167 0.500
S 0.088 0.432 0.297
S 0.224 0.224 0.703
S 0.432 0.088 0.297
S 0.568 0.912 0.703
S 0.776 0.776 0.297
S 0.912 0.568 0.703
CELL_PARAMETERS angstrom
3.618 -6.267 0.000
3.618 6.267 0.000
-2.415 0.000 7.344

---

Number 1: total magnetization 5.00 μB/cell, formation energy without anion corrections -1.737 eV/atom, calculated total energy -6.4826 eV per atom. Number 2: total magnetization 4.00 μB/cell, formation energy without anion corrections -1.808 eV/atom, calculated total energy -6.1695 eV per atom. Number 3: total magnetization 10.00 μB/cell, formation energy without anion corrections -1.688 eV/atom, calculated total energy -6.8253 eV per atom.